DFT (PBE-GGA) results for a relaxed structure of LaAsP3.

Calculated values
spin magnetization = 0.0 μB/f.u.
formation enthalpy at 0 K = -0.0429 eV per atom

Structure (CIF):
```
data_LaAsP3
_symmetry_space_group_name_H-M 'P m -3 m'
_symmetry_Int_Tables_number 221
_symmetry_space_group_name_Hall '-P 4 2 3'
_cell_length_a 4.785
_cell_length_b 4.785
_cell_length_c 4.785
_cell_angle_alpha 90.00
_cell_angle_beta 90.00
_cell_angle_gamma 90.00
loop_
_atom_site_label
_atom_site_fract_x
_atom_site_fract_y
_atom_site_fract_z
La1 0.000 0.000 0.000
As1 0.500 0.500 0.500
P1 0.000 0.500 0.500
```

***

DFT (PBE-GGA) results for a relaxed structure of LaAs2P.

Calculated values
spin magnetization = 0.0 μB/f.u.
formation enthalpy at 0 K = -0.5690 eV per atom

Structure (CIF):
```
data_LaAs2P
_symmetry_space_group_name_H-M 'P 4/m m m'
_symmetry_Int_Tables_number 123
_symmetry_space_group_name_Hall '-P 4 2'
_cell_length_a 4.280
_cell_length_b 4.280
_cell_length_c 4.654
_cell_angle_alpha 90.00
_cell_angle_beta 90.00
_cell_angle_gamma 90.00
loop_
_atom_site_label
_atom_site_fract_x
_atom_site_fract_y
_atom_site_fract_z
La1 0.000 0.000 0.000
As1 0.000 0.500 0.500
P1 0.500 0.500 0.000
```

***

DFT (PBE-GGA) results for a relaxed structure of La4AsP2.

Calculated values
ΔE to the lowest computed polymorph = 610 meV/atom
spin magnetization = 0.0 μB/f.u.
formation enthalpy at 0 K = -0.7317 eV per atom

Structure (CIF):
```
data_La4AsP2
_symmetry_space_group_name_H-M 'I 4/m m m'
_symmetry_Int_Tables_number 139
_symmetry_space_group_name_Hall '-I 4 2'
_cell_length_a 5.583
_cell_length_b 5.583
_cell_length_c 15.145
_cell_angle_alpha 90.00
_cell_angle_beta 90.00
_cell_angle_gamma 90.00
loop_
_atom_site_label
_atom_site_fract_x
_atom_site_fract_y
_atom_site_fract_z
La1 0.000 0.000 0.200
La2 0.000 0.500 0.000
As1 0.000 0.000 0.000
P1 0.000 0.000 0.381
```

***

DFT (PBE-GGA) results for a relaxed structure of LaAsP2.

Calculated values
spin magnetization = 0.0 μB/f.u.
formation enthalpy at 0 K = -0.4314 eV per atom

Structure (CIF):
```
data_LaAsP2
_symmetry_space_group_name_H-M 'I -4 m 2'
_symmetry_Int_Tables_number 119
_symmetry_space_group_name_Hall 'I -4 -2'
_cell_length_a 4.098
_cell_length_b 4.098
_cell_length_c 9.943
_cell_angle_alpha 90.00
_cell_angle_beta 90.00
_cell_angle_gamma 90.00
loop_
_atom_site_label
_atom_site_fract_x
_atom_site_fract_y
_atom_site_fract_z
La1 0.000 0.000 0.000
As1 0.000 0.500 0.250
P1 0.000 0.000 0.500
P2 0.000 0.500 0.750
```

***

DFT (PBE-GGA) results for a relaxed structure of LaAs2P.

Calculated values
spin magnetization = 0.0 μB/f.u.
formation enthalpy at 0 K = -0.5192 eV per atom

Structure (CIF):
```
data_LaAs2P
_symmetry_space_group_name_H-M 'C 1 2/m 1'
_symmetry_Int_Tables_number 12
_symmetry_space_group_name_Hall '-C 2y'
_cell_length_a 5.892
_cell_length_b 10.863
_cell_length_c 4.161
_cell_angle_alpha 90.00
_cell_angle_beta 134.84
_cell_angle_gamma 90.00
loop_
_atom_site_label
_atom_site_fract_x
_atom_site_fract_y
_atom_site_fract_z
La1 0.000 0.000 0.000
As1 0.250 0.250 0.500
P1 0.000 0.500 0.000
```

***

DFT (PBE-GGA) results for a relaxed structure of LaAsP2.

Calculated values
spin magnetization = 0.0 μB/f.u.
formation enthalpy at 0 K = -0.6580 eV per atom

Structure (CIF):
```
data_LaAsP2
_symmetry_space_group_name_H-M 'P 1 2/m 1'
_symmetry_Int_Tables_number 10
_symmetry_space_group_name_Hall '-P 2y'
_cell_length_a 4.364
_cell_length_b 3.983
_cell_length_c 5.489
_cell_angle_alpha 90.00
_cell_angle_beta 102.92
_cell_angle_gamma 90.00
loop_
_atom_site_label
_atom_site_fract_x
_atom_site_fract_y
_atom_site_fract_z
La1 0.000 0.000 0.000
As1 0.500 0.000 0.500
P1 0.388 0.500 0.798
```

***

DFT (PBE-GGA) results for a relaxed structure of LaAsP2.

Calculated values
spin magnetization = 0.0 μB/f.u.
formation enthalpy at 0 K = -0.3464 eV per atom

Structure (CIF):
```
data_LaAsP2
_symmetry_space_group_name_H-M 'I 4/m m m'
_symmetry_Int_Tables_number 139
_symmetry_space_group_name_Hall '-I 4 2'
_cell_length_a 4.201
_cell_length_b 4.201
_cell_length_c 9.384
_cell_angle_alpha 90.00
_cell_angle_beta 90.00
_cell_angle_gamma 90.00
loop_
_atom_site_label
_atom_site_fract_x
_atom_site_fract_y
_atom_site_fract_z
La1 0.000 0.000 0.000
As1 0.000 0.000 0.500
P1 0.000 0.500 0.250
```

***

DFT (PBE-GGA) results for a relaxed structure of LaAs2P.

Calculated values
spin magnetization = 0.0 μB/f.u.
formation enthalpy at 0 K = -0.4146 eV per atom

Structure (CIF):
```
data_LaAs2P
_symmetry_space_group_name_H-M 'I -4 2 d'
_symmetry_Int_Tables_number 122
_symmetry_space_group_name_Hall 'I -4 2bw'
_cell_length_a 7.931
_cell_length_b 7.931
_cell_length_c 5.843
_cell_angle_alpha 90.00
_cell_angle_beta 90.00
_cell_angle_gamma 90.00
loop_
_atom_site_label
_atom_site_fract_x
_atom_site_fract_y
_atom_site_fract_z
La1 0.000 0.000 0.000
As1 0.204 0.250 0.625
P1 0.000 0.000 0.500
```

***

DFT (PBE-GGA) results for a relaxed structure of LaAsP2.

Calculated values
spin magnetization = 0.0 μB/f.u.
formation enthalpy at 0 K = -0.4760 eV per atom

Structure (CIF):
```
data_LaAsP2
_symmetry_space_group_name_H-M 'I m m m'
_symmetry_Int_Tables_number 71
_symmetry_space_group_name_Hall '-I 2 2'
_cell_length_a 3.753
_cell_length_b 5.153
_cell_length_c 8.599
_cell_angle_alpha 90.00
_cell_angle_beta 90.00
_cell_angle_gamma 90.00
loop_
_atom_site_label
_atom_site_fract_x
_atom_site_fract_y
_atom_site_fract_z
La1 0.000 0.000 0.000
As1 0.000 0.000 0.500
P1 0.000 0.500 0.209
```

***

DFT (PBE-GGA) results for a relaxed structure of LaAs2P.

Calculated values
spin magnetization = 0.0 μB/f.u.
formation enthalpy at 0 K = -0.3013 eV per atom

Structure (CIF):
```
data_LaAs2P
_symmetry_space_group_name_H-M 'F -4 3 m'
_symmetry_Int_Tables_number 216
_symmetry_space_group_name_Hall 'F -4 2 3'
_cell_length_a 7.082
_cell_length_b 7.082
_cell_length_c 7.082
_cell_angle_alpha 90.00
_cell_angle_beta 90.00
_cell_angle_gamma 90.00
loop_
_atom_site_label
_atom_site_fract_x
_atom_site_fract_y
_atom_site_fract_z
La1 0.000 0.000 0.000
As1 0.000 0.000 0.500
As2 0.250 0.250 0.250
P1 0.250 0.250 0.750
```

***

DFT (PBE-GGA) results for a relaxed structure of La6As5P.

Calculated values
spin magnetization = 0.0 μB/f.u.
formation enthalpy at 0 K = -1.5744 eV per atom

Structure (CIF):
```
data_La6As5P
_symmetry_space_group_name_H-M 'C 1 2/m 1'
_symmetry_Int_Tables_number 12
_symmetry_space_group_name_Hall '-C 2y'
_cell_length_a 7.556
_cell_length_b 13.084
_cell_length_c 7.555
_cell_angle_alpha 90.00
_cell_angle_beta 109.47
_cell_angle_gamma 90.00
loop_
_atom_site_label
_atom_site_fract_x
_atom_site_fract_y
_atom_site_fract_z
La1 0.247 0.000 0.252
La2 0.247 0.165 0.748
As1 0.000 0.167 0.000
As2 0.000 0.333 0.500
As3 0.000 0.500 0.000
P1 0.000 0.000 0.500
```

***

DFT (PBE-GGA) results for a relaxed structure of LaAsP2.

Calculated values
spin magnetization = 0.0 μB/f.u.
formation enthalpy at 0 K = -0.4698 eV per atom

Structure (CIF):
```
data_LaAsP2
_symmetry_space_group_name_H-M 'R -3 m'
_symmetry_Int_Tables_number 166
_symmetry_space_group_name_Hall '-R 3 2"'
_cell_length_a 4.0331
_cell_length_b 4.0331
_cell_length_c 19.7487
_cell_angle_alpha 90.00
_cell_angle_beta 90.00
_cell_angle_gamma 120.00
loop_
_atom_site_label
_atom_site_fract_x
_atom_site_fract_y
_atom_site_fract_z
La1 0.0000 0.0000 0.0000
As1 0.0000 0.0000 0.5000
P1 0.0000 0.0000 0.2407
```

***

DFT (PBE-GGA) results for a relaxed structure of LaAsP2.

Calculated values
spin magnetization = 0.0 μB/f.u.
formation enthalpy at 0 K = -0.5780 eV per atom

Structure (CIF):
```
data_LaAsP2
_symmetry_space_group_name_H-M 'C 1 2/m 1'
_symmetry_Int_Tables_number 12
_symmetry_space_group_name_Hall '-C 2y'
_cell_length_a 11.077
_cell_length_b 3.822
_cell_length_c 4.772
_cell_angle_alpha 90.00
_cell_angle_beta 105.23
_cell_angle_gamma 90.00
loop_
_atom_site_label
_atom_site_fract_x
_atom_site_fract_y
_atom_site_fract_z
La1 0.000 0.000 0.000
As1 0.000 0.500 0.500
P1 0.223 0.500 0.850
```

***

DFT (PBE-GGA) results for a relaxed structure of LaAs2P.

Calculated values
spin magnetization = 0.0 μB/f.u.
formation enthalpy at 0 K = -0.6797 eV per atom

Structure (CIF):
```
data_LaAs2P
_symmetry_space_group_name_H-M 'C 1 m 1'
_symmetry_Int_Tables_number 8
_symmetry_space_group_name_Hall 'C -2y'
_cell_length_a 11.151
_cell_length_b 3.905
_cell_length_c 4.429
_cell_angle_alpha 90.00
_cell_angle_beta 94.24
_cell_angle_gamma 90.00
loop_
_atom_site_label
_atom_site_fract_x
_atom_site_fract_y
_atom_site_fract_z
La1 0.000 0.000 0.000
As1 0.216 0.000 0.565
As2 0.431 0.000 0.488
P1 0.219 0.500 0.923
```

***

DFT (PBE-GGA) results for a relaxed structure of LaAs2P.

Calculated values
spin magnetization = 0.0 μB/f.u.
formation enthalpy at 0 K = -0.5931 eV per atom

Structure (CIF):
```
data_LaAs2P
_symmetry_space_group_name_H-M 'P 1 2/m 1'
_symmetry_Int_Tables_number 10
_symmetry_space_group_name_Hall '-P 2y'
_cell_length_a 4.464
_cell_length_b 3.986
_cell_length_c 5.644
_cell_angle_alpha 90.00
_cell_angle_beta 108.28
_cell_angle_gamma 90.00
loop_
_atom_site_label
_atom_site_fract_x
_atom_site_fract_y
_atom_site_fract_z
La1 0.000 0.000 0.000
As1 0.364 0.500 0.767
P1 0.500 0.000 0.500
```

***

DFT (PBE-GGA) results for a relaxed structure of LaAs2P.

Calculated values
spin magnetization = 0.0 μB/f.u.
formation enthalpy at 0 K = -0.4007 eV per atom

Structure (CIF):
```
data_LaAs2P
_symmetry_space_group_name_H-M 'P 4/m m m'
_symmetry_Int_Tables_number 123
_symmetry_space_group_name_Hall '-P 4 2'
_cell_length_a 3.935
_cell_length_b 3.935
_cell_length_c 5.724
_cell_angle_alpha 90.00
_cell_angle_beta 90.00
_cell_angle_gamma 90.00
loop_
_atom_site_label
_atom_site_fract_x
_atom_site_fract_y
_atom_site_fract_z
La1 0.000 0.000 0.000
As1 0.500 0.500 0.286
P1 0.000 0.000 0.500
```

***

DFT (PBE-GGA) results for a relaxed structure of La7AsP5.

Calculated values
spin magnetization = 0.8 μB/f.u.
formation enthalpy at 0 K = -1.4745 eV per atom

Structure (CIF):
```
data_La7AsP5
_symmetry_space_group_name_H-M 'C m c m'
_symmetry_Int_Tables_number 63
_symmetry_space_group_name_Hall '-C 2c 2'
_cell_length_a 4.256
_cell_length_b 14.049
_cell_length_c 25.046
_cell_angle_alpha 90.00
_cell_angle_beta 90.00
_cell_angle_gamma 90.00
loop_
_atom_site_label
_atom_site_fract_x
_atom_site_fract_y
_atom_site_fract_z
La1 0.000 0.044 0.250
La2 0.000 0.137 0.535
La3 0.000 0.318 0.176
La4 0.000 0.412 0.605
As1 0.000 0.300 0.750
P1 0.000 0.047 0.646
P2 0.000 0.227 0.074
P3 0.000 0.500 0.000
```

***

DFT (PBE-GGA) results for a relaxed structure of La2AsP2.

Calculated values
ΔE to the lowest computed polymorph = 15 meV/atom
spin magnetization = 0.0 μB/f.u.
formation enthalpy at 0 K = -1.0584 eV per atom

Structure (CIF):
```
data_La2AsP2
_symmetry_space_group_name_H-M 'P 4/m b m'
_symmetry_Int_Tables_number 127
_symmetry_space_group_name_Hall '-P 4 2ab'
_cell_length_a 7.657
_cell_length_b 7.657
_cell_length_c 4.071
_cell_angle_alpha 90.00
_cell_angle_beta 90.00
_cell_angle_gamma 90.00
loop_
_atom_site_label
_atom_site_fract_x
_atom_site_fract_y
_atom_site_fract_z
La1 0.158 0.342 0.000
As1 0.000 0.000 0.500
P1 0.155 0.655 0.500
```

***

DFT (PBE-GGA) results for a relaxed structure of LaAs2P.

Calculated values
spin magnetization = 0.0 μB/f.u.
formation enthalpy at 0 K = -0.5327 eV per atom

Structure (CIF):
```
data_LaAs2P
_symmetry_space_group_name_H-M 'I m m 2'
_symmetry_Int_Tables_number 44
_symmetry_space_group_name_Hall 'I 2 -2'
_cell_length_a 3.802
_cell_length_b 5.137
_cell_length_c 8.878
_cell_angle_alpha 90.00
_cell_angle_beta 90.00
_cell_angle_gamma 90.00
loop_
_atom_site_label
_atom_site_fract_x
_atom_site_fract_y
_atom_site_fract_z
La1 0.000 0.000 0.000
As1 0.000 0.000 0.488
As2 0.000 0.500 0.212
P1 0.000 0.500 0.786
```

***

DFT (PBE-GGA) results for a relaxed structure of LaAsP2.

Calculated values
spin magnetization = 0.0 μB/f.u.
formation enthalpy at 0 K = -0.5110 eV per atom

Structure (CIF):
```
data_LaAsP2
_symmetry_space_group_name_H-M 'P 4 m m'
_symmetry_Int_Tables_number 99
_symmetry_space_group_name_Hall 'P 4 -2'
_cell_length_a 4.118
_cell_length_b 4.118
_cell_length_c 5.989
_cell_angle_alpha 90.00
_cell_angle_beta 90.00
_cell_angle_gamma 90.00
loop_
_atom_site_label
_atom_site_fract_x
_atom_site_fract_y
_atom_site_fract_z
La1 0.000 0.000 0.000
As1 0.500 0.500 0.386
P1 0.000 0.000 0.476
P2 0.500 0.500 0.995
```